1.
Density functional theory data (meta-GGA SCAN) for IrWI2 at its PBEsol-relaxed geometry. Values from VASP.

Structure (Quantum ESPRESSO input):
```
&SYSTEM
  ibrav = 0, nat = 16, ntyp = 3
/
ATOMIC_SPECIES
Ir 192.22 Ir.upf
W 183.84 W.upf
I 126.90 I.upf
CELL_PARAMETERS angstrom
6.729 0.000 0.000
0.000 6.729 0.000
0.000 0.000 6.729
ATOMIC_POSITIONS crystal
Ir 0.000 0.000 0.000
Ir 0.000 0.500 0.500
Ir 0.500 0.000 0.500
Ir 0.500 0.500 0.000
W 0.000 0.000 0.500
W 0.000 0.500 0.000
W 0.500 0.000 0.000
W 0.500 0.500 0.500
I 0.250 0.250 0.250
I 0.250 0.250 0.750
I 0.250 0.750 0.250
I 0.250 0.750 0.750
I 0.750 0.250 0.250
I 0.750 0.250 0.750
I 0.750 0.750 0.250
I 0.750 0.750 0.750
```

Results
Energy relative to the elements, uncorrected: 6.743 eV/f.u.

2.
Density functional theory data (meta-GGA SCAN) for SrLa2Ir at its PBEsol-relaxed geometry. Values from VASP.

Structure (Quantum ESPRESSO input):
```
&SYSTEM
  ibrav = 0, nat = 16, ntyp = 3
/
ATOMIC_SPECIES
Sr 87.62 Sr.upf
La 138.91 La.upf
Ir 192.22 Ir.upf
CELL_PARAMETERS angstrom
7.483 0.000 0.000
0.000 7.483 0.000
0.000 0.000 7.483
ATOMIC_POSITIONS crystal
Sr 0.000 0.000 0.000
Sr 0.000 0.500 0.500
Sr 0.500 0.000 0.500
Sr 0.500 0.500 0.000
La 0.250 0.250 0.250
La 0.250 0.250 0.750
La 0.250 0.750 0.250
La 0.250 0.750 0.750
La 0.750 0.250 0.250
La 0.750 0.250 0.750
La 0.750 0.750 0.250
La 0.750 0.750 0.750
Ir 0.000 0.000 0.500
Ir 0.000 0.500 0.000
Ir 0.500 0.000 0.000
Ir 0.500 0.500 0.500
```

Results
Offset from the most stable computed form: 524 meV/atom
Formation enthalpy at 0 K: -0.035 eV per atom

3.
Density functional theory data (meta-GGA SCAN) for CaMo3 at its PBEsol-relaxed geometry. Values from VASP.

Structure (Quantum ESPRESSO input):
```
&SYSTEM
  ibrav = 0, nat = 12, ntyp = 2
/
ATOMIC_SPECIES
Ca 40.08 Ca.upf
Mo 95.94 Mo.upf
CELL_PARAMETERS angstrom
9.363 0.000 0.000
-4.681 8.108 0.000
0.000 0.000 2.671
ATOMIC_POSITIONS crystal
Ca 0.000 0.000 0.000
Ca 0.333 0.667 0.667
Ca 0.667 0.333 0.333
Mo 0.000 0.500 0.000
Mo 0.167 0.333 0.333
Mo 0.167 0.833 0.333
Mo 0.333 0.167 0.667
Mo 0.500 0.000 0.000
Mo 0.500 0.500 0.000
Mo 0.667 0.833 0.333
Mo 0.833 0.167 0.667
Mo 0.833 0.667 0.667
```

Results
Offset from the most stable computed form: 0 meV/atom
Formation enthalpy at 0 K: 0.745 eV per atom

4.
Density functional theory data (meta-GGA SCAN) for RePH3 at its PBEsol-relaxed geometry. Values from VASP.

Structure (Quantum ESPRESSO input):
```
&SYSTEM
  ibrav = 0, nat = 5, ntyp = 3
/
ATOMIC_SPECIES
Re 186.21 Re.upf
P 30.97 P.upf
H 1.01 H.upf
CELL_PARAMETERS angstrom
3.459 0.000 0.000
0.000 3.459 0.000
0.000 0.000 3.459
ATOMIC_POSITIONS crystal
Re 0.000 0.000 0.000
P 0.500 0.500 0.500
H 0.000 0.000 0.500
H 0.000 0.500 0.000
H 0.500 0.000 0.000
```

5.
Density functional theory data (meta-GGA SCAN) for SrScRh2 at its PBEsol-relaxed geometry. Values from VASP.

Structure (Quantum ESPRESSO input):
```
&SYSTEM
  ibrav = 0, nat = 8, ntyp = 3
/
ATOMIC_SPECIES
Sr 87.62 Sr.upf
Sc 44.96 Sc.upf
Rh 102.91 Rh.upf
CELL_PARAMETERS angstrom
10.324 0.000 0.000
0.000 3.122 0.000
-1.187 0.000 4.940
ATOMIC_POSITIONS crystal
Sr 0.000 0.000 0.000
Sr 0.500 0.500 0.000
Sc 0.294 0.500 0.395
Sc 0.794 0.000 0.395
Rh 0.016 0.500 0.505
Rh 0.231 0.000 0.749
Rh 0.516 0.000 0.505
Rh 0.731 0.500 0.749
```

Results
Offset from the most stable computed form: 310 meV/atom
Formation enthalpy at 0 K: -0.292 eV per atom

6.
Density functional theory data (meta-GGA SCAN) for Ho2GaOs at its PBEsol-relaxed geometry. Values from VASP.

Structure (Quantum ESPRESSO input):
```
&SYSTEM
  ibrav = 0, nat = 16, ntyp = 3
/
ATOMIC_SPECIES
Ho 164.93 Ho.upf
Ga 69.72 Ga.upf
Os 190.23 Os.upf
CELL_PARAMETERS angstrom
6.830 0.000 0.000
0.000 6.830 0.000
0.000 0.000 6.830
ATOMIC_POSITIONS crystal
Ho 0.250 0.250 0.250
Ho 0.250 0.250 0.750
Ho 0.250 0.750 0.250
Ho 0.250 0.750 0.750
Ho 0.750 0.250 0.250
Ho 0.750 0.250 0.750
Ho 0.750 0.750 0.250
Ho 0.750 0.750 0.750
Ga 0.000 0.000 0.000
Ga 0.000 0.500 0.500
Ga 0.500 0.000 0.500
Ga 0.500 0.500 0.000
Os 0.000 0.000 0.500
Os 0.000 0.500 0.000
Os 0.500 0.000 0.000
Os 0.500 0.500 0.500
```

Results
Formation enthalpy at 0 K: -0.527 eV per atom

7.
Density functional theory data (meta-GGA SCAN) for SnAs2O7 at its PBEsol-relaxed geometry. Values from VASP.

Structure (Quantum ESPRESSO input):
```
&SYSTEM
  ibrav = 0, nat = 40, ntyp = 3
/
ATOMIC_SPECIES
Sn 118.71 Sn.upf
As 74.92 As.upf
O 16.00 O.upf
CELL_PARAMETERS angstrom
6.139 0.000 0.000
0.000 9.463 0.000
-0.825 0.000 9.321
ATOMIC_POSITIONS crystal
Sn 0.148 0.097 0.245
Sn 0.148 0.403 0.745
Sn 0.852 0.597 0.255
Sn 0.852 0.903 0.755
As 0.056 0.641 0.946
As 0.056 0.859 0.446
As 0.364 0.704 0.718
As 0.364 0.796 0.218
As 0.636 0.204 0.782
As 0.636 0.296 0.282
As 0.944 0.141 0.554
As 0.944 0.359 0.054
O 0.021 0.089 0.733
O 0.021 0.411 0.233
O 0.060 0.190 0.061
O 0.060 0.310 0.561
O 0.157 0.677 0.146
O 0.157 0.823 0.646
O 0.176 0.051 0.472
O 0.176 0.449 0.972
O 0.333 0.704 0.902
O 0.333 0.796 0.402
O 0.363 0.536 0.653
O 0.363 0.964 0.153
O 0.395 0.228 0.315
O 0.395 0.272 0.815
O 0.605 0.728 0.185
O 0.605 0.772 0.685
O 0.637 0.036 0.847
O 0.637 0.464 0.347
O 0.667 0.204 0.598
O 0.667 0.296 0.098
O 0.824 0.551 0.028
O 0.824 0.949 0.528
O 0.843 0.177 0.354
O 0.843 0.323 0.854
O 0.940 0.690 0.439
O 0.940 0.810 0.939
O 0.979 0.589 0.767
O 0.979 0.911 0.267
```

Results
Energy relative to the elements, uncorrected: -12.992 eV/f.u.

8.
Density functional theory data (meta-GGA SCAN) for Cd2SnAsI at its PBEsol-relaxed geometry. Values from VASP.

Structure (Quantum ESPRESSO input):
```
&SYSTEM
  ibrav = 0, nat = 5, ntyp = 4
/
ATOMIC_SPECIES
Cd 112.41 Cd.upf
Sn 118.71 Sn.upf
As 74.92 As.upf
I 126.90 I.upf
CELL_PARAMETERS angstrom
5.211 0.000 0.000
0.000 5.211 0.000
0.000 0.000 5.807
ATOMIC_POSITIONS crystal
Cd 0.000 0.500 0.000
Cd 0.500 0.000 0.000
Sn 0.000 0.000 0.500
As 0.000 0.000 0.000
I 0.500 0.500 0.500
```

Results
Energy relative to the elements, uncorrected: 0.914 eV/f.u.

9.
Density functional theory data (meta-GGA SCAN) for TaAgBr2 at its PBEsol-relaxed geometry. Values from VASP.

Structure (Quantum ESPRESSO input):
```
&SYSTEM
  ibrav = 0, nat = 4, ntyp = 3
/
ATOMIC_SPECIES
Ta 180.95 Ta.upf
Ag 107.87 Ag.upf
Br 79.90 Br.upf
CELL_PARAMETERS angstrom
4.868 0.000 0.000
0.000 4.868 0.000
0.000 0.000 3.199
ATOMIC_POSITIONS crystal
Ta 0.000 0.000 0.000
Ag 0.500 0.500 0.000
Br 0.000 0.500 0.500
Br 0.500 0.000 0.500
```

Results
Energy relative to the elements, uncorrected: 2.772 eV/f.u.
Offset from the most stable computed form: 0 meV/atom

10.
Density functional theory data (meta-GGA SCAN) for BaTiOs2 at its PBEsol-relaxed geometry. Values from VASP.

Structure (Quantum ESPRESSO input):
```
&SYSTEM
  ibrav = 0, nat = 16, ntyp = 3
/
ATOMIC_SPECIES
Ba 137.33 Ba.upf
Ti 47.87 Ti.upf
Os 190.23 Os.upf
CELL_PARAMETERS angstrom
6.664 0.000 0.000
0.000 6.664 0.000
0.000 0.000 6.664
ATOMIC_POSITIONS crystal
Ba 0.000 0.000 0.000
Ba 0.000 0.500 0.500
Ba 0.500 0.000 0.500
Ba 0.500 0.500 0.000
Ti 0.000 0.000 0.500
Ti 0.000 0.500 0.000
Ti 0.500 0.000 0.000
Ti 0.500 0.500 0.500
Os 0.250 0.250 0.250
Os 0.250 0.250 0.750
Os 0.250 0.750 0.250
Os 0.250 0.750 0.750
Os 0.750 0.250 0.250
Os 0.750 0.250 0.750
Os 0.750 0.750 0.250
Os 0.750 0.750 0.750
```

Results
Formation enthalpy at 0 K: 0.981 eV per atom

Number 1: magnetization 0.00 μB per formula unit, total DFT energy (no corrections) -51.882 eV per atom. Number 2: magnetization 0.00 μB per formula unit, total DFT energy (no corrections) -44.931 eV per atom. Number 3: magnetization 0.00 μB per formula unit, total DFT energy (no corrections) -27.835 eV per atom. Number 4: magnetization 0.00 μB per formula unit, total DFT energy (no corrections) -17.489 eV per atom. Number 5: magnetization 0.00 μB per formula unit, total DFT energy (no corrections) -26.306 eV per atom. Number 6: magnetization 0.00 μB per formula unit, total DFT energy (no corrections) -47.077 eV per atom. Number 7: magnetization 0.07 μB per formula unit, total DFT energy (no corrections) -13.291 eV per atom. Number 8: magnetization 0.00 μB per formula unit, total DFT energy (no corrections) -30.554 eV per atom. Number 9: magnetization 1.86 μB per formula unit, total DFT energy (no corrections) -33.524 eV per atom. Number 10: magnetization 0.00 μB per formula unit, total DFT energy (no corrections) -48.854 eV per atom.